Here is Pm2Tm5 after structural relaxation from Alexandria. Energies are from PBE.

POSCAR file:
```
Pm2Tm5
1.0
-5.411 2.717 1.508
-3.402 -8.132 2.445
5.582 0.474 6.267
Pm Tm
4 10
Direct
0.259 0.392 0.855
0.405 0.108 0.145
0.741 0.608 0.145
0.595 0.892 0.855
0.310 0.465 0.290
0.019 0.035 0.710
0.119 0.678 0.571
0.547 0.822 0.429
0.881 0.322 0.429
0.453 0.178 0.571
0.981 0.965 0.290
0.690 0.535 0.710
0.835 0.250 0.000
0.165 0.750 0.000
```

---

Here is Pm5Tm3 after structural relaxation from Alexandria. Energies are from PBE.

POSCAR file:
```
Pm5Tm3
1.0
3.597 0.000 0.000
0.000 3.597 0.000
0.000 0.000 20.244
Pm Tm
5 3
Direct
0.000 0.000 0.247
0.500 0.500 0.624
0.500 0.500 0.376
0.000 0.000 0.753
0.000 0.000 0.000
0.500 0.500 0.123
0.500 0.500 0.877
0.000 0.000 0.500
```

Summary:
For the energy relative to the lowest polymorph listed for this composition, the calculation gives 0.06 kcal/mol of atoms.

---

Here is Pm7Tm5 after structural relaxation from Alexandria. Energies are from PBE.

POSCAR file:
```
Pm7Tm5
1.0
-2.497 -1.223 2.297
4.090 1.974 8.329
-4.547 10.687 3.581
Pm Tm
7 5
Direct
0.639 0.973 0.749
0.361 0.027 0.251
0.029 0.693 0.250
0.971 0.307 0.750
0.332 0.331 0.004
0.500 0.500 0.500
0.668 0.669 0.996
0.832 0.834 0.502
0.168 0.166 0.498
0.694 0.359 0.253
0.306 0.641 0.747
0.000 0.000 0.000
```

---

Here is PmTm after structural relaxation from Alexandria. Energies are from PBE.

POSCAR file:
```
PmTm
1.0
-0.518 -2.180 2.844
0.857 -1.404 -3.225
5.556 0.387 1.308
Tm Pm
1 1
Direct
0.000 0.000 0.000
0.333 0.667 0.500
```

Summary:
For the energy relative to the lowest polymorph listed for this composition, the calculation gives 0.34 kcal/mol of atoms.

---

Here is PmTm4 after structural relaxation from Alexandria. Energies are from PBE.

POSCAR file:
```
PmTm4
1.0
6.972 0.000 0.000
3.486 5.310 0.715
3.486 1.549 8.565
Pm Tm
2 8
Direct
0.750 0.000 0.000
0.250 0.000 0.000
0.806 0.612 0.776
0.306 0.612 0.776
0.850 0.200 0.599
0.350 0.200 0.599
0.650 0.800 0.401
0.150 0.800 0.401
0.694 0.388 0.224
0.194 0.388 0.224
```

Summary:
For the energy relative to the lowest polymorph listed for this composition, the calculation gives 1.00 kcal/mol of atoms.

---

Here is PmTm4 after structural relaxation from Alexandria. Energies are from PBE.

POSCAR file:
```
PmTm4
1.0
3.563 -0.045 -0.102
-1.728 3.065 0.561
0.439 1.729 14.558
Pm Tm
1 4
Direct
0.000 0.000 0.000
0.470 0.939 0.795
0.530 0.061 0.205
0.269 0.536 0.598
0.731 0.464 0.402
```

Summary:
For the energy relative to the lowest polymorph listed for this composition, the calculation gives 0.00 kcal/mol of atoms.

---

Here is Pm3Tm13 after structural relaxation from Alexandria. Energies are from PBE.

POSCAR file:
```
Pm3Tm13
1.0
8.343 -0.434 0.000
-0.464 8.342 0.000
0.000 0.000 7.195
Pm Tm
3 13
Direct
0.960 0.040 0.252
0.707 0.293 0.000
0.960 0.040 0.748
0.538 0.956 0.251
0.457 0.543 0.250
0.044 0.462 0.251
0.790 0.707 0.000
0.293 0.210 0.000
0.211 0.789 0.000
0.538 0.956 0.749
0.457 0.543 0.750
0.044 0.462 0.749
0.707 0.293 0.500
0.788 0.705 0.500
0.295 0.212 0.500
0.211 0.789 0.500
```

---

Here is PmTm after structural relaxation from Alexandria. Energies are from PBE.

POSCAR file:
```
PmTm
1.0
3.542 0.000 -0.040
0.000 5.587 0.000
-1.690 0.000 6.545
Tm Pm
2 2
Direct
0.822 0.750 0.142
0.178 0.250 0.858
0.562 0.750 0.624
0.438 0.250 0.376
```

Summary:
For the energy relative to the lowest polymorph listed for this composition, the calculation gives 0.98 kcal/mol of atoms.

---

Here is PmTm6 after structural relaxation from Alexandria. Energies are from PBE.

POSCAR file:
```
PmTm6
1.0
-1.811 -5.958 -1.693
4.669 -2.472 3.705
-6.848 -0.313 8.423
Pm Tm
2 12
Direct
0.500 0.000 0.000
0.000 0.500 0.000
0.500 0.500 0.143
0.000 0.000 0.143
0.000 0.000 0.857
0.500 0.500 0.857
0.831 0.669 0.364
0.331 0.831 0.364
0.669 0.169 0.364
0.169 0.331 0.364
0.669 0.831 0.636
0.169 0.669 0.636
0.831 0.331 0.636
0.331 0.169 0.636
```

Summary:
For the energy relative to the lowest polymorph listed for this composition, the calculation gives 0.00 kcal/mol of atoms.

---

Here is Pm2TmV after structural relaxation from Alexandria. Energies are from PBE.

POSCAR file:
```
Pm2TmV
1.0
3.412 0.000 0.000
1.706 2.955 0.000
1.706 0.985 11.544
V Tm Pm
1 1 2
Direct
0.000 0.000 0.000
0.500 0.500 0.500
0.082 0.082 0.754
0.918 0.918 0.246
```

---

Here is Pm7YTm12 after structural relaxation from Alexandria. Energies are from PBE.

POSCAR file:
```
Pm7YTm12
1.0
9.128 0.000 -3.227
-4.564 7.905 -3.227
0.000 0.000 9.682
Pm Y Tm
7 1 12
Direct
0.500 0.500 0.000
0.000 0.500 0.500
0.500 0.000 0.500
0.500 0.500 0.500
0.000 0.000 0.500
0.500 0.000 0.000
0.000 0.500 0.000
0.000 0.000 0.000
0.504 0.752 0.752
0.000 0.752 0.248
0.496 0.248 0.248
0.000 0.248 0.752
0.752 0.000 0.248
0.752 0.504 0.752
0.248 0.000 0.752
0.248 0.496 0.248
0.752 0.752 0.504
0.248 0.248 0.496
0.752 0.248 0.000
0.248 0.752 0.000
```

Summary:
For the energy relative to the lowest polymorph listed for this composition, the calculation gives 10.07 kcal/mol of atoms.

---

Here is Pm2Y4Tm7 after structural relaxation from Alexandria. Energies are from PBE.

POSCAR file:
```
Pm2Y4Tm7
1.0
-0.703 -1.547 6.661
2.059 -4.247 -4.252
9.928 4.262 3.992
Pm Y Tm
2 4 7
Direct
0.707 0.274 0.983
0.293 0.726 0.017
0.150 0.032 0.619
0.850 0.968 0.381
0.715 0.441 0.531
0.285 0.559 0.469
0.068 0.559 0.756
0.932 0.441 0.244
0.000 0.000 0.000
0.618 0.965 0.694
0.382 0.035 0.306
0.482 0.532 0.178
0.518 0.468 0.822
```

---

Here is Pm2Y7Tm after structural relaxation from Alexandria. Energies are from PBE.

POSCAR file:
```
Pm2Y7Tm
1.0
-2.953 -1.796 0.670
6.674 -6.709 11.441
-7.984 10.719 -6.465
Pm Y Tm
2 7 1
Direct
0.500 0.708 0.292
0.500 0.292 0.708
0.000 0.814 0.186
0.000 0.186 0.814
0.500 0.147 0.343
0.500 0.853 0.657
0.500 0.343 0.147
0.500 0.657 0.853
0.500 0.500 0.500
0.000 0.000 0.000
```

Summary:
For the energy relative to the lowest polymorph listed for this composition, the calculation gives 0.00 kcal/mol of atoms.

---

Here is Pm3Y7Tm after structural relaxation from Alexandria. Energies are from PBE.

POSCAR file:
```
Pm3Y7Tm
1.0
0.389 3.793 -8.007
-7.407 -7.104 -0.475
-2.215 1.995 4.676
Pm Y Tm
3 7 1
Direct
0.214 0.993 0.715
0.000 0.500 0.000
0.786 0.007 0.285
0.898 0.829 0.899
0.815 0.633 0.315
0.635 0.287 0.136
0.365 0.713 0.864
0.500 0.000 0.500
0.185 0.367 0.685
0.102 0.171 0.101
0.500 0.500 0.500
```

Summary:
For the energy relative to the lowest polymorph listed for this composition, the calculation gives 0.00 kcal/mol of atoms.

---

Here is Pm2YTm4 after structural relaxation from Alexandria. Energies are from PBE.

POSCAR file:
```
Pm2YTm4
1.0
-5.122 0.375 7.048
-6.948 0.325 -6.421
7.279 -5.832 3.950
Pm Y Tm
4 2 8
Direct
0.569 0.443 0.953
0.725 0.129 0.371
0.610 0.378 0.266
0.123 0.239 0.618
0.058 0.584 0.595
0.193 0.209 0.943
0.833 0.985 0.940
0.348 0.841 0.278
0.926 0.674 0.979
0.774 0.021 0.623
0.249 0.144 0.232
0.403 0.800 0.592
0.456 0.686 0.836
0.984 0.616 0.274
```

Summary:
For the energy relative to the lowest polymorph listed for this composition, the calculation gives 0.00 kcal/mol of atoms.

---

Here is Pm2Y4Tm5 after structural relaxation from Alexandria. Energies are from PBE.

POSCAR file:
```
Pm2Y4Tm5
1.0
-1.047 -3.044 1.381
7.610 -0.440 4.798
-8.394 7.416 5.539
Pm Y Tm
2 4 5
Direct
0.401 0.401 0.803
0.599 0.599 0.197
0.000 0.305 0.000
0.732 0.732 0.464
0.000 0.695 0.000
0.268 0.268 0.536
0.857 0.051 0.714
0.857 0.663 0.714
0.143 0.337 0.286
0.143 0.949 0.286
0.500 0.000 0.000
```

Summary:
For the energy relative to the lowest polymorph listed for this composition, the calculation gives 4.90 kcal/mol of atoms.

---

Here is Pm5Y2Tm3 after structural relaxation from Alexandria. Energies are from PBE.

POSCAR file:
```
Pm5Y2Tm3
1.0
2.523 -0.078 -9.723
9.830 -0.492 -2.011
-6.554 -7.085 5.828
Pm Y Tm
10 4 6
Direct
0.268 0.518 0.037
0.732 0.482 0.963
0.019 0.769 0.538
0.521 0.271 0.543
0.981 0.231 0.462
0.479 0.729 0.457
0.878 0.630 0.757
0.122 0.370 0.243
0.379 0.128 0.757
0.621 0.872 0.243
0.781 0.031 0.756
0.219 0.969 0.244
0.474 0.725 0.756
0.526 0.275 0.244
0.228 0.978 0.956
0.772 0.022 0.044
0.721 0.469 0.249
0.279 0.531 0.751
0.028 0.780 0.249
0.972 0.220 0.751
```

---

Here is Pm2Y5Tm4 after structural relaxation from Alexandria. Energies are from PBE.

POSCAR file:
```
Pm2Y5Tm4
1.0
-3.085 1.506 4.502
-7.420 1.140 -5.466
18.410 -10.079 12.427
Pm Y Tm
2 5 4
Direct
0.410 0.211 0.820
0.590 0.789 0.180
0.845 0.130 0.689
0.155 0.870 0.311
0.788 0.475 0.575
0.500 0.000 0.000
0.212 0.525 0.425
0.314 0.371 0.628
0.946 0.981 0.893
0.686 0.629 0.372
0.054 0.019 0.107
```

Summary:
For the energy relative to the lowest polymorph listed for this composition, the calculation gives 0.00 kcal/mol of atoms.

---

Here is Pm3Y8Tm after structural relaxation from Alexandria. Energies are from PBE.

POSCAR file:
```
Pm3Y8Tm
1.0
-5.317 0.102 -6.884
0.542 -8.596 1.218
-0.592 2.214 8.391
Pm Y Tm
3 8 1
Direct
0.500 0.754 0.254
0.500 0.246 0.746
0.000 0.500 0.500
0.496 0.243 0.253
0.504 0.757 0.747
0.010 0.757 0.253
0.990 0.243 0.747
0.167 0.416 0.249
0.833 0.083 0.249
0.833 0.584 0.751
0.167 0.917 0.751
0.000 0.000 0.000
```

---

Here is Pm10Y6Tm after structural relaxation from Alexandria. Energies are from PBE.

POSCAR file:
```
Pm10Y6Tm
1.0
6.905 0.000 0.000
0.000 8.510 -4.913
0.000 0.000 9.827
Pm Y Tm
10 6 1
Direct
0.816 0.726 0.726
0.816 0.000 0.274
0.816 0.274 0.000
0.184 0.274 0.274
0.184 0.000 0.726
0.184 0.726 0.000
0.500 0.333 0.667
0.500 0.667 0.333
0.000 0.667 0.333
0.000 0.333 0.667
0.691 0.370 0.370
0.691 0.000 0.630
0.691 0.630 0.000
0.309 0.630 0.630
0.309 0.000 0.370
0.309 0.370 0.000
0.500 0.000 0.000
```

---

Number 1: DFT formation energy 0.5 kJ per mole of atoms, calculated total energy -4.546 eV/atom, M_tot 0.00 μB/atom. Number 2: DFT formation energy 2.3 kJ per mole of atoms, calculated total energy -4.622 eV/atom, M_tot 0.00 μB/atom. Number 3: DFT formation energy 0.9 kJ per mole of atoms, calculated total energy -4.625 eV/atom, M_tot 0.00 μB/atom. Number 4: DFT formation energy 2.9 kJ per mole of atoms, calculated total energy -4.581 eV/atom, M_tot 0.00 μB/atom. Number 5: DFT formation energy 4.1 kJ per mole of atoms, calculated total energy -4.485 eV/atom, M_tot 0.00 μB/atom. Number 6: DFT formation energy -0.1 kJ per mole of atoms, calculated total energy -4.528 eV/atom, M_tot 0.06 μB/atom. Number 7: DFT formation energy 0.5 kJ per mole of atoms, calculated total energy -4.518 eV/atom, M_tot 0.00 μB/atom. Number 8: DFT formation energy 5.6 kJ per mole of atoms, calculated total energy -4.553 eV/atom, M_tot 0.00 μB/atom. Number 9: DFT formation energy 25.9 kJ per mole of atoms, calculated total energy -4.243 eV/atom, M_tot 0.04 μB/atom. Number 10: DFT formation energy 60.1 kJ per mole of atoms, calculated total energy -5.150 eV/atom, M_tot 0.79 μB/atom. Number 11: DFT formation energy 64.6 kJ per mole of atoms, calculated total energy -3.999 eV/atom, M_tot 0.00 μB/atom. Number 12: DFT formation energy 13.8 kJ per mole of atoms, calculated total energy -4.985 eV/atom, M_tot 0.00 μB/atom. Number 13: DFT formation energy 15.5 kJ per mole of atoms, calculated total energy -5.761 eV/atom, M_tot 0.00 μB/atom. Number 14: DFT formation energy 13.7 kJ per mole of atoms, calculated total energy -5.674 eV/atom, M_tot 0.00 μB/atom. Number 15: DFT formation energy 6.9 kJ per mole of atoms, calculated total energy -4.764 eV/atom, M_tot 0.00 μB/atom. Number 16: DFT formation energy 25.8 kJ per mole of atoms, calculated total energy -4.979 eV/atom, M_tot 0.00 μB/atom. Number 17: DFT formation energy 17.9 kJ per mole of atoms, calculated total energy -4.824 eV/atom, M_tot 0.00 μB/atom. Number 18: DFT formation energy 9.3 kJ per mole of atoms, calculated total energy -5.331 eV/atom, M_tot 0.00 μB/atom. Number 19: DFT formation energy 30.2 kJ per mole of atoms, calculated total energy -5.557 eV/atom, M_tot 0.00 μB/atom. Number 20: DFT formation energy 12.4 kJ per mole of atoms, calculated total energy -5.210 eV/atom, M_tot 0.00 μB/atom.